# 1
Density functional theory data (GGA-PBE) for an optimized crystal structure of Na3Pm2PrO6.

a = 7.8565 Å, b = 7.8565 Å, c = 6.9867 Å
α = 100.88°, β = 100.88°, γ = 26.34°
Last column: nearest neighbours and their distance in Å.
Atoms (fractional coordinates):
1 Na 0.0000 0.0000 0.0000  6 O 2.59-2.63
2 Na 0.3312 0.3312 0.6657  6 O 2.56-2.66
3 Na 0.6688 0.6688 0.3343  6 O 2.56-2.66
4 Pm 0.3331 0.3331 0.1642  6 O 2.38-2.39
5 Pm 0.6669 0.6669 0.8358  6 O 2.38-2.39
6 Pr 0.0000 0.0000 0.5000  6 O 2.42-2.43
7 O 0.1608 0.1608 0.6062  2 Pm 2.39, 1 Pr 2.43, 3 Na 2.56-2.63
8 O 0.1749 0.1749 0.0647  3 Pm 2.38-2.39, 3 Na 2.61-2.63
9 O 0.4914 0.4914 0.2643  1 Pm 2.39, 2 Pr 2.42, 3 Na 2.59-2.66
10 O 0.5086 0.5086 0.7357  1 Pm 2.39, 2 Pr 2.42, 3 Na 2.59-2.66
11 O 0.8251 0.8251 0.9353  3 Pm 2.38-2.39, 3 Na 2.61-2.63
12 O 0.8392 0.8392 0.3938  2 Pm 2.39, 1 Pr 2.43, 3 Na 2.56-2.63

Properties
Energy relative to the elements, uncorrected ... -2623 meV per atom
E_tot ... -6.622 eV/atom
Spin magnetization ... 0.0 μB/f.u.
Space group ... C2/m (12)
DOS at the Fermi energy ... 0.0 states/eV/f.u.


# 2
Density functional theory data (GGA-PBE) for an optimized crystal structure of NaPmPtO4.

a = 6.6650 Å, b = 6.6650 Å, c = 6.6650 Å
α = 121.51°, β = 114.65°, γ = 93.46°
Last column: nearest neighbours and their distance in Å.
Atoms (fractional coordinates):
1 Na 0.3604 0.1104 0.2500  2 O 2.17
2 Na 0.6396 0.8896 0.7500  2 O 2.17
3 Pm 0.0000 0.5000 0.5000  6 O 2.33-2.41
4 Pm 0.5000 0.5000 0.0000  6 O 2.33-2.41
5 Pt 0.0000 0.0000 0.5000  6 O 2.08-2.10
6 Pt 0.0000 0.5000 0.0000  6 O 2.08-2.10
7 O 0.1753 0.2416 0.9337  2 Pt 2.10
8 O 0.1921 0.7584 0.4337  2 Pt 2.10
9 O 0.2271 0.2530 0.5259  1 Pt 2.08, 1 Na 2.17, 2 Pm 2.33
10 O 0.2271 0.7012 0.9741  1 Pt 2.08, 1 Na 2.17, 2 Pm 2.33
11 O 0.7729 0.2988 0.0259  1 Pt 2.08, 1 Na 2.17, 2 Pm 2.33
12 O 0.7729 0.7470 0.4741  1 Pt 2.08, 1 Na 2.17, 2 Pm 2.33
13 O 0.8079 0.2416 0.5663  2 Pt 2.10
14 O 0.8247 0.7584 0.0663  2 Pt 2.10

Properties
Energy relative to the elements, uncorrected ... -1744 meV per atom
E_tot ... -6.308 eV/atom
Spin magnetization ... 0.0 μB/f.u.
Space group ... Imma (74)


- Among the records above, which one has the lowest E_tot?
  Na3Pm2PrO6